# YMg2Ag (PBE, optimized geometry)
# * calculated formation energy: -0.54 eV/f.u.
# * Fermi-level density of states: 0.61 states/eV per atom
# * magnetization: 0.00 Bohr magnetons per cell
data_YMg2Ag
_space_group_name_H-M_alt 'C 1 2/m 1'
_space_group_IT_number 12
_cell_length_a 11.9717
_cell_length_b 3.3217
_cell_length_c 5.2949
_cell_angle_alpha 90.00
_cell_angle_beta 116.03
_cell_angle_gamma 90.00
loop_
_space_group_symop_operation_xyz
'x,y,z'
'-x,-y,-z'
'-x,y,-z'
'x,-y,z'
'x+1/2,y+1/2,z'
'-x+1/2,-y+1/2,-z'
'-x+1/2,y+1/2,-z'
'x+1/2,-y+1/2,z'
loop_
_atom_site_label
_atom_site_type_symbol
_atom_site_fract_x
_atom_site_fract_y
_atom_site_fract_z
Y1 Y 0.0000 0.0000 0.0000
Mg1 Mg 0.2173 0.0000 0.7179
Ag1 Ag 0.0000 0.5000 0.5000

---

# Y4MgAg (PBE, optimized geometry)
# * calculated formation energy: 2.39 eV/f.u.
# * Fermi-level density of states: 1.09 states/eV per atom
# * magnetization: 0.00 Bohr magnetons per cell
data_Y4MgAg
_space_group_name_H-M_alt 'F -4 3 m'
_space_group_IT_number 216
_space_group_name_Hall 'F -4 2 3'
_cell_length_a 8.9806
_cell_length_b 8.9806
_cell_length_c 8.9806
_cell_angle_alpha 90.00
_cell_angle_beta 90.00
_cell_angle_gamma 90.00
loop_
_atom_site_label
_atom_site_type_symbol
_atom_site_fract_x
_atom_site_fract_y
_atom_site_fract_z
Y1 Y 0.1253 0.1253 0.1253
Mg1 Mg 0.0000 0.0000 0.5000
Ag1 Ag 0.2500 0.2500 0.7500

---

# YMg5Ag4 (PBE, optimized geometry)
# * calculated formation energy: -2.02 eV/f.u.
# * Fermi-level density of states: 0.59 states/eV per atom
# * magnetization: 0.09 Bohr magnetons per cell
data_YMg5Ag4
_space_group_name_H-M_alt 'P 4/m m m'
_space_group_IT_number 123
_space_group_name_Hall '-P 4 2'
_cell_length_a 3.3638
_cell_length_b 3.3638
_cell_length_c 17.9812
_cell_angle_alpha 90.00
_cell_angle_beta 90.00
_cell_angle_gamma 90.00
loop_
_atom_site_label
_atom_site_type_symbol
_atom_site_fract_x
_atom_site_fract_y
_atom_site_fract_z
Y1 Y 0.0000 0.0000 0.0000
Mg1 Mg 0.5000 0.5000 0.1337
Mg2 Mg 0.5000 0.5000 0.3168
Mg3 Mg 0.5000 0.5000 0.5000
Ag1 Ag 0.0000 0.0000 0.2247
Ag2 Ag 0.0000 0.0000 0.4086

---

# Y2Mg3Ag4 (PBE, optimized geometry)
# * calculated formation energy: -2.04 eV/f.u.
# * Fermi-level density of states: 0.66 states/eV per atom
# * magnetization: 0.00 Bohr magnetons per cell
data_Y2Mg3Ag4
_space_group_name_H-M_alt 'C m c e'
_space_group_IT_number 64
_space_group_name_Hall '-C 2ac 2'
_cell_length_a 6.0058
_cell_length_b 16.7208
_cell_length_c 7.9044
_cell_angle_alpha 90.00
_cell_angle_beta 90.00
_cell_angle_gamma 90.00
loop_
_atom_site_label
_atom_site_type_symbol
_atom_site_fract_x
_atom_site_fract_y
_atom_site_fract_z
Y1 Y 0.0000 0.1006 0.0983
Mg1 Mg 0.0000 0.0000 0.5000
Mg2 Mg 0.2500 0.2313 0.7500
Ag1 Ag 0.0000 0.1696 0.4723
Ag2 Ag 0.2500 0.0638 0.7500

---

# YMg2Ag6 (PBE, optimized geometry)
# * calculated formation energy: -1.09 eV/f.u.
# * Fermi-level density of states: 0.45 states/eV per atom
# * magnetization: 0.00 Bohr magnetons per cell
data_YMg2Ag6
_space_group_name_H-M_alt 'I m m m'
_space_group_IT_number 71
_space_group_name_Hall '-I 2 2'
_cell_length_a 3.1522
_cell_length_b 8.1297
_cell_length_c 14.1883
_cell_angle_alpha 90.00
_cell_angle_beta 90.00
_cell_angle_gamma 90.00
loop_
_atom_site_label
_atom_site_type_symbol
_atom_site_fract_x
_atom_site_fract_y
_atom_site_fract_z
Y1 Y 0.0000 0.0000 0.0000
Mg1 Mg 0.0000 0.5000 0.1471
Ag1 Ag 0.0000 0.1690 0.5000
Ag2 Ag 0.0000 0.3243 0.3245

---

# Y2MgAg (PBE, optimized geometry)
# * calculated formation energy: 0.07 eV/f.u.
# * Fermi-level density of states: 1.00 states/eV per atom
# * magnetization: 0.00 Bohr magnetons per cell
data_Y2MgAg
_space_group_name_H-M_alt 'C 1 m 1'
_space_group_IT_number 8
_cell_length_a 6.2489
_cell_length_b 3.4630
_cell_length_c 10.3846
_cell_angle_alpha 90.00
_cell_angle_beta 102.83
_cell_angle_gamma 90.00
loop_
_space_group_symop_operation_xyz
'x,y,z'
'x,-y,z'
'x+1/2,y+1/2,z'
'x+1/2,-y+1/2,z'
loop_
_atom_site_label
_atom_site_type_symbol
_atom_site_fract_x
_atom_site_fract_y
_atom_site_fract_z
Y1 Y 0.0000 0.0000 0.0000
Y2 Y 0.1829 0.0000 0.5375
Mg1 Mg 0.2694 0.5000 0.2688
Ag1 Ag 0.0914 0.5000 0.7686

---

# YMg2Ag (PBE, optimized geometry)
# * calculated formation energy: -0.36 eV/f.u.
# * Fermi-level density of states: 0.75 states/eV per atom
# * magnetization: 0.00 Bohr magnetons per cell
data_YMg2Ag
_space_group_name_H-M_alt 'P 1 2/m 1'
_space_group_IT_number 10
_cell_length_a 3.4251
_cell_length_b 5.0037
_cell_length_c 5.6711
_cell_angle_alpha 90.00
_cell_angle_beta 100.24
_cell_angle_gamma 90.00
loop_
_space_group_symop_operation_xyz
'x,y,z'
'-x,-y,-z'
'-x,y,-z'
'x,-y,z'
loop_
_atom_site_label
_atom_site_type_symbol
_atom_site_fract_x
_atom_site_fract_y
_atom_site_fract_z
Y1 Y 0.0000 0.0000 0.0000
Mg1 Mg 0.3614 0.5000 0.7312
Ag1 Ag 0.5000 0.0000 0.5000

---

# Y3Mg4Ag (PBE, optimized geometry)
# * calculated formation energy: -0.93 eV/f.u.
# * Fermi-level density of states: 1.10 states/eV per atom
# * magnetization: 0.17 Bohr magnetons per cell
data_Y3Mg4Ag
_space_group_name_H-M_alt 'P 4/m m m'
_space_group_IT_number 123
_space_group_name_Hall '-P 4 2'
_cell_length_a 3.6616
_cell_length_b 3.6616
_cell_length_c 15.0735
_cell_angle_alpha 90.00
_cell_angle_beta 90.00
_cell_angle_gamma 90.00
loop_
_atom_site_label
_atom_site_type_symbol
_atom_site_fract_x
_atom_site_fract_y
_atom_site_fract_z
Y1 Y 0.0000 0.0000 0.0000
Y2 Y 0.0000 0.0000 0.2600
Mg1 Mg 0.5000 0.5000 0.1307
Mg2 Mg 0.5000 0.5000 0.3996
Ag1 Ag 0.0000 0.0000 0.5000